No. 1
Crystalline MnCuW2 at its relaxed geometry, computed with PBEsol.

Summary:
Final energy ... -10.087 eV/atom
Polymorph energy (0 for the lowest one) ... 74 meV/atom
Magnetization ... 0.0 μB per formula unit
Space-group type ... Imm2 (44)
ΔH_f (0 K) ... 0.340 eV per atom
Calculated density ... 15.00 g cm⁻³

a b c (Å): 3.049 4.206 8.396
angles (deg): 90.00 90.00 90.00
Atoms (fractional coordinates):
Mn  0.000  0.000  0.000
Mn  0.500  0.500  0.500
Cu  0.000  0.500  0.255
Cu  0.500  0.000  0.755
W  0.000  0.000  0.488
W  0.000  0.500  0.731
W  0.500  0.000  0.231
W  0.500  0.500  0.988

=====

No. 2
Crystalline BaCaSi at its relaxed geometry, computed with PBEsol.

Summary:
Final energy ... -3.545 eV/atom
E_form (uncorrected) ... -0.20 eV/atom
Polymorph energy (0 for the lowest one) ... 240 meV/atom
Magnetization ... 0.0 μB per formula unit
Space-group type ... P3m1 (156)
Calculated density ... 3.29 g cm⁻³

a b c (Å): 4.969 4.969 4.850
angles (deg): 90.00 90.00 120.00
Atoms (fractional coordinates):
Ba  0.000  0.000  0.000
Ca  0.667  0.333  0.502
Si  0.333  0.667  0.393

=====

No. 3
Crystalline Tl2AgCl at its relaxed geometry, computed with PBEsol.

Summary:
Final energy ... -2.807 eV/atom
E_form (uncorrected) ... -0.16 eV/atom
Polymorph energy (0 for the lowest one) ... 54 meV/atom
Magnetization ... 0.0 μB per formula unit
Space-group type ... C2/m (12)
Calculated density ... 8.73 g cm⁻³

a b c (Å): 6.986 3.963 7.922
angles (deg): 90.00 106.69 90.00
Atoms (fractional coordinates):
Tl  0.246  0.000  0.234
Tl  0.254  0.500  0.766
Tl  0.746  0.500  0.234
Tl  0.754  0.000  0.766
Ag  0.000  0.500  0.000
Ag  0.500  0.000  0.000
Cl  0.000  0.000  0.500
Cl  0.500  0.500  0.500

=====

No. 4
Crystalline BeHSeBr2 at its relaxed geometry, computed with PBEsol.

Summary:
Final energy ... -2.296 eV/atom
Polymorph energy (0 for the lowest one) ... 220 meV/atom
Magnetization ... 0.0 μB per formula unit
Space-group type ... P4/mmm (123)
Calculated density ... 4.64 g cm⁻³

a b c (Å): 5.061 5.061 3.478
angles (deg): 90.00 90.00 90.00
Atoms (fractional coordinates):
Be  0.000  0.000  0.000
H  0.500  0.500  0.500
Se  0.500  0.500  0.000
Br  0.000  0.500  0.500
Br  0.500  0.000  0.500

=====

No. 5
Crystalline La2MnHg at its relaxed geometry, computed with PBEsol.

Summary:
Final energy ... -5.272 eV/atom
Magnetization ... 3.1 μB per formula unit
Space-group type ... Cmmm (65)
ΔH_f (0 K) ... -0.016 eV per atom
Calculated density ... 8.40 g cm⁻³

a b c (Å): 7.610 7.619 3.636
angles (deg): 90.00 90.00 90.00
Atoms (fractional coordinates):
La  0.250  0.250  0.000
La  0.250  0.750  0.000
La  0.750  0.250  0.000
La  0.750  0.750  0.000
Mn  0.000  0.000  0.500
Mn  0.500  0.500  0.500
Hg  0.000  0.500  0.500
Hg  0.500  0.000  0.500

=====

No. 6
Crystalline SrNbI3 at its relaxed geometry, computed with PBEsol.

Summary:
Final energy ... -3.909 eV/atom
E_form (uncorrected) ... -0.32 eV/atom
Magnetization ... 2.8 μB per formula unit
Space-group type ... Pm-3m (221)
Calculated density ... 5.29 g cm⁻³

a b c (Å): 5.605 5.605 5.605
angles (deg): 90.00 90.00 90.00
Atoms (fractional coordinates):
Sr  0.000  0.000  0.000
Nb  0.500  0.500  0.500
I  0.000  0.500  0.500
I  0.500  0.000  0.500
I  0.500  0.500  0.000